[1]
ErTmCCl | Alexandria | PBE-GGA | relaxed; uncorrected formation energy = -701 meV per atom; raw total energy = -22.908 eV per cell; SG = No. 8
1.0
-1.209 -2.842 -1.746
2.278 -2.415 -1.249
-0.119 -5.600 5.572
Er Tm C Cl
1 1 1 1
Cartesian
1.272 -7.658 0.938 Er
1.089 -9.106 3.404 Tm
-0.735 -7.683 2.363 C
1.035 -4.923 0.254 Cl

[2]
BaNa2Pt | Alexandria | PBE-GGA | relaxed; energy above the most stable polymorph in this dataset = 0.0 meV per atom; raw total energy = -23.516 eV per cell; ΔH_f (0 K) = -0.29 eV per atom; SG = No. 63
1.0
4.654 -0.001 0.000
-2.328 5.522 0.000
0.000 0.000 9.666
Ba Na Pt
2 4 2
Cartesian
2.326 4.932 2.416 Ba
0.000 0.589 7.249 Ba
0.000 3.679 5.381 Na
2.326 1.843 4.285 Na
0.000 3.679 9.117 Na
2.326 1.843 0.548 Na
2.326 2.805 7.249 Pt
0.000 2.717 2.416 Pt

[3]
Na2B8O13 | Alexandria | PBE-GGA | relaxed; uncorrected formation energy = -2411 meV per atom; energy above the most stable polymorph in this dataset = 0.0 meV per atom; raw total energy = -703.850 eV per cell; SG = No. 14
1.0
18.073 0.000 0.000
0.000 6.628 -0.032
0.000 0.711 8.591
Na B O
8 32 52
Cartesian
6.517 3.836 0.409 Na
15.554 6.817 8.135 Na
11.556 3.503 8.151 Na
2.519 0.522 0.425 Na
7.210 6.783 5.026 Na
16.247 3.870 3.517 Na
10.863 0.556 3.533 Na
1.826 3.469 5.042 Na
9.239 4.563 6.838 B
0.202 6.090 1.706 B
8.834 2.776 1.722 B
17.871 1.249 6.854 B
8.910 2.187 6.388 B
17.947 1.838 2.187 B
9.163 5.152 2.171 B
0.126 5.501 6.372 B
7.065 3.789 5.906 B
16.102 0.235 2.669 B
11.008 3.549 2.653 B
1.971 7.104 5.890 B
5.335 4.003 4.156 B
14.372 6.650 4.387 B
12.738 3.335 4.403 B
3.701 0.689 4.172 B
4.611 3.708 6.427 B
13.647 0.316 2.149 B
13.462 3.630 2.133 B
4.426 7.022 6.411 B
3.870 3.979 2.103 B
12.907 6.674 6.440 B
14.203 3.360 6.456 B
5.166 0.665 2.119 B
3.144 4.082 8.494 B
12.181 6.571 0.049 B
14.929 3.257 0.065 B
5.892 0.767 8.510 B
1.463 3.794 1.647 B
10.499 6.859 6.897 B
16.610 3.545 6.913 B
7.574 0.480 1.663 B
10.177 5.461 7.228 O
1.141 5.192 1.315 O
7.896 1.877 1.331 O
16.932 2.147 7.244 O
9.636 3.217 6.985 O
0.599 0.807 1.591 O
8.437 4.122 1.575 O
17.474 6.531 6.969 O
9.395 0.916 6.272 O
0.358 3.108 2.303 O
8.678 6.422 2.287 O
17.715 4.230 6.256 O
7.680 2.459 5.839 O
16.716 1.566 2.736 O
10.393 4.880 2.720 O
1.357 5.773 5.823 O
7.982 4.841 6.377 O
17.018 5.811 2.166 O
10.091 2.497 2.182 O
1.055 1.527 6.393 O
6.604 4.197 4.569 O
15.640 6.456 3.974 O
11.469 3.142 3.990 O
2.433 0.883 4.585 O
4.314 3.681 5.058 O
13.350 0.344 3.518 O
13.759 3.658 3.502 O
4.723 6.995 5.042 O
3.475 3.682 7.214 O
12.511 0.343 1.361 O
14.598 3.657 1.345 O
5.562 6.996 7.198 O
5.887 3.743 6.874 O
14.924 0.282 1.701 O
12.186 3.596 1.685 O
3.149 7.057 6.858 O
5.042 4.138 2.816 O
14.079 6.515 5.727 O
13.031 3.201 5.743 O
3.994 0.824 2.832 O
4.128 3.948 0.715 O
13.164 6.705 7.828 O
13.945 3.391 7.844 O
4.909 0.633 0.731 O
1.909 3.119 0.390 O
10.946 0.906 8.185 O
16.164 4.220 8.169 O
7.127 6.433 0.374 O
2.632 3.847 2.614 O
11.669 6.806 5.929 O
15.441 3.492 5.945 O
6.404 0.533 2.630 O

[4]
GdZnGaCu | Alexandria | PBE-GGA | relaxed; raw total energy = -23.725 eV per cell; ΔH_f (0 K) = -0.31 eV per atom; SG = No. 216
1.0
4.662 0.000 0.000
2.331 4.038 0.000
2.331 1.346 3.807
Zn Gd Cu Ga
1 1 1 1
Cartesian
6.993 4.038 2.855 Zn
0.000 0.000 0.000 Gd
2.331 1.346 0.952 Cu
4.662 2.692 1.903 Ga

[5]
Sr2AgHg | Alexandria | PBE-GGA | relaxed; raw total energy = -8.179 eV per cell; ΔH_f (0 K) = -0.42 eV per atom; SG = No. 38
1.0
6.467 0.009 -0.006
4.947 4.166 -0.006
0.005 0.002 4.944
Sr Hg Ag
2 1 1
Cartesian
0.178 0.065 0.617 Sr
8.385 3.067 3.083 Sr
3.429 1.254 0.616 Hg
5.137 1.879 3.083 Ag

[6]
KErO3 | Alexandria | PBE-GGA | relaxed; uncorrected formation energy = -1914 meV per atom; raw total energy = -30.106 eV per cell; SG = No. 221
1.0
-0.384 0.780 4.352
0.490 -4.334 0.820
4.394 0.552 0.288
K Er O
1 1 3
Cartesian
0.000 0.000 0.000 K
2.250 -1.501 2.730 Er
0.053 -1.777 2.586 O
2.005 0.666 2.320 O
2.442 -1.891 0.554 O

[7]
ReIr2Cl | Alexandria | PBE-GGA | relaxed; uncorrected formation energy = 448 meV per atom; energy above the most stable polymorph in this dataset = 155.9 meV per atom; raw total energy = -30.225 eV per cell; SG = No. 8
1.0
4.625 0.001 -0.119
3.779 2.665 -0.119
0.685 0.217 6.484
Cl Ir Re
1 2 1
Cartesian
1.053 0.334 1.793 Cl
1.208 0.383 5.883 Ir
7.207 2.286 4.520 Ir
4.849 1.538 3.658 Re

[8]
CeHg3Bi2 | Alexandria | PBE-GGA | relaxed; raw total energy = -15.614 eV per cell; ΔH_f (0 K) = -0.17 eV per atom; SG = No. 65
1.0
5.475 0.000 0.000
0.000 5.593 -1.891
0.000 -1.075 6.037
Ce Hg Bi
1 3 2
Cartesian
0.000 0.000 0.000 Ce
2.738 0.564 1.667 Hg
2.738 2.796 -0.945 Hg
2.738 3.954 2.479 Hg
0.000 3.432 0.935 Bi
0.000 1.086 3.211 Bi

[9]
SrLi2Co | Alexandria | PBE-GGA | relaxed; energy above the most stable polymorph in this dataset = 115.7 meV per atom; raw total energy = -10.792 eV per cell; ΔH_f (0 K) = 0.46 eV per atom; SG = No. 225
1.0
0.000 3.473 3.473
3.473 0.000 3.473
3.473 3.473 0.000
Sr Co Li
1 1 2
Cartesian
3.473 3.473 3.473 Sr
0.000 0.000 0.000 Co
1.736 1.736 1.736 Li
5.209 5.209 5.209 Li

[10]
CsNaLi2 | Alexandria | PBE-GGA | relaxed; energy above the most stable polymorph in this dataset = 0.0 meV per atom; raw total energy = -10.205 eV per cell; ΔH_f (0 K) = 0.22 eV per atom; SG = No. 122
1.0
-0.413 -0.815 -6.016
3.396 -5.029 0.448
-7.939 -9.156 -1.292
Cs Na Li
2 2 4
Cartesian
0.000 0.000 0.000 Cs
-3.431 -6.446 -5.046 Cs
1.491 -2.922 -2.784 Na
-1.526 -8.554 -1.814 Na
-1.717 -3.226 -2.544 Li
-0.016 -5.735 -2.278 Li
-3.999 -10.298 -2.947 Li
-4.182 -10.741 -5.951 Li

[11]
DyH6Rh2 | Alexandria | PBE-GGA | relaxed; energy above the most stable polymorph in this dataset = 0.0 meV per atom; raw total energy = -42.460 eV per cell; SG = No. 12
1.0
3.873 0.853 0.363
-0.888 3.865 0.363
1.077 1.702 5.419
Dy H Rh
1 6 2
Cartesian
1.937 0.426 0.182 Dy
1.125 1.894 4.533 H
1.340 2.233 1.250 H
2.937 4.526 1.613 H
2.722 4.187 4.896 H
0.879 4.024 3.086 H
3.183 2.396 3.060 H
1.270 2.040 2.891 Rh
2.792 4.380 3.255 Rh

[12]
Ta2TcSe | Alexandria | PBE-GGA | relaxed; uncorrected formation energy = 161 meV per atom; raw total energy = -36.913 eV per cell; SG = No. 139
1.0
4.792 0.003 0.000
0.996 4.687 0.000
-2.894 -2.345 3.015
Se Ta Tc
1 2 1
Cartesian
2.396 0.001 1.507 Se
0.000 0.000 0.000 Ta
2.894 2.345 0.000 Ta
0.498 2.344 1.507 Tc

Q: Which formula does entry 1 have?
A: ErTmCCl

Q: What is the raw total energy in the third record?
A: -703.850 eV per cell